An optimized crystal structure of KTePt2, computed with PBE.

Cell: 6.520 6.520 6.520 Å, 41.84 41.84 41.84°
Fractional positions:
K1 0.000 0.000 0.000
Te1 0.190 0.190 0.190
Pt1 0.483 0.483 0.483
Pt2 0.811 0.811 0.811

Values from the calculation:
Volume ... 27.9 A^3/atom
Energy relative to the elements, uncorrected ... -0.288 eV/atom